# MgIn2, PBEsol geometry, DFT SCAN
# Total DFT energy (no corrections), eV per atom: -23.995
# Total magnetic moment, μB/f.u.: 0.00
# Density of states at the Fermi level, states/eV/f.u.: 1.18
data_MgIn2
_chemical_formula_sum 'Mg2 In4'
_cell_length_a 3.302
_cell_length_b 3.302
_cell_length_c 12.964
_cell_angle_alpha 90.00
_cell_angle_beta 90.00
_cell_angle_gamma 90.00
_symmetry_space_group_name_H-M 'I 4/m m m'
_symmetry_Int_Tables_number 139
_symmetry_space_group_name_Hall '-I 4 2'
loop_
_atom_site_label
_atom_site_fract_x
_atom_site_fract_y
_atom_site_fract_z
_atom_site_occupancy
Mg1 0.000 0.000 0.000 1
In1 0.000 0.000 0.337 1